{
  "formula": "Tl2ZnSn",
  "functional": "GGA-PBE",
  "state": "optimized geometry",
  "dft_energy_ev_per_atom": -2.32,
  "formation_enthalpy_0k_ev_per_atom": 0.187,
  "e_above_lowest_polymorph_ev_per_atom": 0.059,
  "total_magnetization_mub_per_cell": 0.00,
  "lattice_angstrom": [[8.4035, 0.0000, 0.0000], [0.0000, 8.4035, 0.0000], [0.0000, 0.0000, 6.2271]],
  "species": ["Tl", "Tl", "Tl", "Tl", "Tl", "Tl", "Tl", "Tl", "Zn", "Zn", "Zn", "Zn", "Sn", "Sn", "Sn", "Sn"],
  "frac_coords": [[0.2172, 0.7500, 0.1250], [0.2500, 0.2172, 0.8750], [0.2500, 0.2828, 0.3750], [0.2828, 0.7500, 0.6250], [0.7172, 0.2500, 0.6250], [0.7500, 0.7172, 0.3750], [0.7500, 0.7828, 0.8750], [0.7828, 0.2500, 0.1250], [0.0000, 0.0000, 0.0000], [0.0000, 0.5000, 0.2500], [0.5000, 0.0000, 0.7500], [0.5000, 0.5000, 0.5000], [0.0000, 0.0000, 0.5000], [0.0000, 0.5000, 0.7500], [0.5000, 0.0000, 0.2500], [0.5000, 0.5000, 0.0000]]
}